Record 1
! meta-GGA SCAN TaIn2As, PBEsol geometry; values from VASP
! Space group = No. 65
! Raw total energy = -38.079 eV/atom
! Total magnetic moment = 0.000 μB per cell
&SYSTEM
  ibrav = 0, nat = 4, ntyp = 3
/
ATOMIC_SPECIES
As 74.92 As.upf
In 114.82 In.upf
Ta 180.95 Ta.upf
ATOMIC_POSITIONS angstrom
As 1.232 1.488 0.000
In 0.000 0.000 2.298
In 0.000 0.000 6.651
Ta 1.232 1.488 4.475
CELL_PARAMETERS angstrom
3.001 0.024 0.000
-0.537 2.953 0.000
0.000 0.000 8.949

---

Record 2
! meta-GGA SCAN Zr2TlCu, PBEsol geometry; values from VASP
! Space group = No. 123
! Raw total energy = -37.424 eV/atom
! Total magnetic moment = 0.000 μB per cell
&SYSTEM
  ibrav = 0, nat = 4, ntyp = 3
/
ATOMIC_SPECIES
Tl 204.38 Tl.upf
Cu 63.55 Cu.upf
Zr 91.22 Zr.upf
ATOMIC_POSITIONS angstrom
Tl -3.913 1.984 1.129
Cu -1.847 -1.203 0.016
Zr -3.220 4.968 1.736
Zr -0.911 1.405 0.491
CELL_PARAMETERS angstrom
-2.198 -0.692 -2.100
-1.496 -1.714 2.131
-4.131 6.373 2.227